i.
CoP2HS | PBE-GGA | optimized geometry

abc: 3.5251 3.5251 4.8560
angles: 90.00 90.00 90.00
Closest atoms and distances in Å follow each position.
Element x y z (fractional)
1 Co 0.5000 0.5000 0.5000  4 S 2.49
2 P 0.5000 0.0000 0.0000  2 H 1.76
3 P 0.0000 0.5000 0.0000  2 H 1.76
4 S 0.0000 0.0000 0.5000  2 H 2.43, 4 Co 2.49
5 H 0.0000 0.0000 0.0000  4 P 1.76

Computed properties:
volume: 60.34 Å³ per cell
crystal system: tetragonal
M_tot: 1.3 μB/cell
density of states at the Fermi level: 4.6 states/eV/f.u.

ii.
CoP2HS | PBE-GGA | optimized geometry

abc: 4.1840 4.1840 4.7344
angles: 90.00 90.00 90.00
Closest atoms and distances in Å follow each position.
Element x y z (fractional)
1 Co 0.0000 0.0000 0.0000  4 P 2.09
2 P 0.0000 0.5000 0.0000  2 Co 2.09
3 P 0.5000 0.0000 0.0000  2 Co 2.09
4 H 0.5000 0.5000 0.5000  4 S 2.96, 8 P 3.16
5 S 0.0000 0.0000 0.5000  2 Co 2.37

Computed properties:
volume: 82.88 Å³ per cell
crystal system: tetragonal
M_tot: 0.0 μB/cell
density of states at the Fermi level: 3.8 states/eV/f.u.

Here is how they stack up, most stable first: i, ii.